[1]
## CsTl3Tc (PBE-GGA)

Data for an optimized crystal structure of CsTl3Tc.

Structure (POSCAR):
```
CsTl3Tc
1.0
-6.1694 -0.6402 1.5290
-0.7830 -4.0681 -4.8628
1.4610 -4.8836 3.8503
Tl Cs Tc
3 1 1
direct
0.0000 0.0000 0.5000
0.0000 0.5000 0.0000
0.5000 0.0000 0.0000
0.0000 0.0000 0.0000
0.5000 0.5000 0.5000
```

raw total energy: -1.86 eV per atom
polymorph energy (0 for the lowest one): 1.650 eV/atom
energy of formation: 1.806 eV per atom
DOS(E_F): 7.74 states/eV/cell


[2]
## KTe2RuI (PBE-GGA)

Data for an optimized crystal structure of KTe2RuI.

Structure (POSCAR):
```
KTe2RuI
1.0
5.1963 0.0000 0.0000
0.0000 5.1963 0.0000
0.0000 0.0000 6.1139
K Te Ru I
1 2 1 1
direct
0.5000 0.5000 0.5000
0.0000 0.5000 0.0000
0.5000 0.0000 0.0000
0.0000 0.0000 0.0000
0.0000 0.0000 0.5000
```

raw total energy: -3.79 eV per atom
polymorph energy (0 for the lowest one): 0.000 eV/atom
DOS(E_F): 5.87 states/eV/cell


[3]
## PmNdPSe (PBE-GGA)

Data for an optimized crystal structure of PmNdPSe.

Structure (POSCAR):
```
PmNdPSe
1.0
-2.3767 -1.4216 3.0199
2.5294 -2.5405 -1.9859
5.9531 3.2433 3.4338
Nd P Se Pm
1 1 1 1
direct
0.4866 0.1412 0.6431
0.3066 0.5512 0.8730
0.9658 0.3809 0.3619
0.1190 0.9574 0.0917
```

raw total energy: -6.32 eV per atom
DOS(E_F): 2.51 states/eV/cell


[4]
## La3ZnTe6 (PBE-GGA)

Data for an optimized crystal structure of La3ZnTe6.

Structure (POSCAR):
```
La3ZnTe6
1.0
7.0808 0.0000 0.0000
0.0000 10.2585 0.0688
0.0000 -2.2222 10.0152
La Te Zn
6 12 2
direct
0.3895 0.3789 0.6211
0.9775 0.7224 0.9325
0.4775 0.9325 0.7224
0.8895 0.6211 0.3789
0.4775 0.2776 0.0675
0.9775 0.0675 0.2776
0.6936 0.9101 0.4347
0.6874 0.6423 0.6756
0.6874 0.3244 0.3577
0.6725 0.2204 0.7796
0.1936 0.0899 0.5653
0.1874 0.3577 0.3244
0.1936 0.4347 0.9101
0.6936 0.5653 0.0899
0.6646 0.9616 0.0384
0.1646 0.0384 0.9616
0.1725 0.7796 0.2204
0.1874 0.6756 0.6423
0.5419 0.8013 0.1987
0.0419 0.1987 0.8013
```

raw total energy: -4.71 eV per atom
DOS(E_F): 6.09 states/eV/cell


[5]
## HoNiI2 (PBE-GGA)

Data for an optimized crystal structure of HoNiI2.

Structure (POSCAR):
```
HoNiI2
1.0
3.9327 0.0000 0.0000
1.9663 3.4058 0.0000
1.9663 1.1353 9.0292
Ni I Ho
1 2 1
direct
0.5000 0.5000 0.5000
0.8894 0.8894 0.3319
0.1106 0.1106 0.6681
0.0000 0.0000 0.0000
```

raw total energy: -3.40 eV per atom
DOS(E_F): 4.10 states/eV/cell


[6]
## Ta2CrTe6 (PBE-GGA)

Data for an optimized crystal structure of Ta2CrTe6.

Structure (POSCAR):
```
Ta2CrTe6
1.0
3.6393 0.0000 0.0000
-1.8196 7.0704 -2.4219
0.0000 0.1392 9.4692
Ta Te Cr
2 6 1
direct
0.3129 0.6259 0.1334
0.6870 0.3741 0.8667
0.3600 0.7200 0.4548
0.6400 0.2800 0.5452
0.9663 0.9326 0.2006
0.6763 0.3525 0.1558
0.0337 0.0674 0.7994
0.3237 0.6475 0.8442
0.0000 0.0000 0.5000
```

raw total energy: -6.07 eV per atom
DOS(E_F): 6.05 states/eV/cell


[7]
## Dy2ErSc (PBE-GGA)

Data for an optimized crystal structure of Dy2ErSc.

Structure (POSCAR):
```
Dy2ErSc
1.0
3.4889 0.0000 0.0000
0.0000 3.4889 0.0000
0.0000 0.0000 9.6616
Dy Er Sc
2 1 1
direct
0.0000 0.0000 0.2405
0.0000 0.0000 0.7595
0.5000 0.5000 0.5000
0.5000 0.5000 0.0000
```

raw total energy: -4.99 eV per atom
polymorph energy (0 for the lowest one): 0.008 eV/atom
energy of formation: 0.039 eV per atom
DOS(E_F): 6.00 states/eV/cell


[8]
## Lu4Ni13C4 (PBE-GGA)

Data for an optimized crystal structure of Lu4Ni13C4.

Structure (POSCAR):
```
Lu4Ni13C4
1.0
8.3284 -0.0030 0.0000
-0.1958 8.3261 0.0000
0.0000 0.0000 3.8108
Lu Ni C
4 13 4
direct
0.3134 0.6866 0.0000
0.6866 0.3134 0.0000
0.8482 0.8482 0.0000
0.1518 0.1518 0.0000
0.7157 0.0705 0.5000
0.2086 0.4247 0.5000
0.5000 0.0000 0.0000
0.6233 0.6233 0.0000
0.4247 0.2086 0.5000
0.5000 0.5000 0.5000
0.0000 0.5000 0.0000
0.0705 0.7157 0.5000
0.2843 0.9295 0.5000
0.9295 0.2843 0.5000
0.3767 0.3767 0.0000
0.5753 0.7914 0.5000
0.7914 0.5753 0.5000
0.0000 0.5000 0.5000
0.5000 0.0000 0.5000
0.0571 0.9429 0.5000
0.9429 0.0571 0.5000
```

raw total energy: -6.56 eV per atom
energy of formation: -0.361 eV per atom
DOS(E_F): 10.92 states/eV/cell